No. 1
Entry from Alexandria: LaCoPt3 after structural relaxation (PBE).

Calculated values
DOS at the Fermi energy, states/eV/cell: 3.74
Crystal system: cubic
Total DFT energy (no corrections), eV/cell: -31.30

Unit cell a=4.6874 b=4.6874 c=4.6874 alpha=90.00 beta=90.00 gamma=90.00
Space group Pm-3m (No. 221)
Symmetry-distinct sites (fractional):
La 0.0000 0.0000 0.0000 (multiplicity 1)
Co 0.5000 0.5000 0.5000 (multiplicity 1)
Pt 0.0000 0.5000 0.5000 (multiplicity 3)



No. 2
Entry from Alexandria: LaCo2Pt2 after structural relaxation (PBE).

Calculated values
DOS at the Fermi energy, states/eV/cell: 8.39
Crystal system: tetragonal
Total DFT energy (no corrections), eV/cell: -66.22

Unit cell a=4.0995 b=4.0995 c=10.5201 alpha=90.00 beta=90.00 gamma=90.00
Space group I4/mmm (No. 139)
Symmetry-distinct sites (fractional):
La 0.0000 0.0000 0.0000 (multiplicity 2)
Co 0.0000 0.0000 0.3964 (multiplicity 4)
Pt 0.0000 0.5000 0.2500 (multiplicity 4)



No. 3
Entry from Alexandria: La7CoPt4 after structural relaxation (PBE).

Calculated values
DOS at the Fermi energy, states/eV/cell: 17.17
Crystal system: monoclinic
Total DFT energy (no corrections), eV/cell: -151.50

Unit cell a=13.8661 b=4.1237 c=12.5784 alpha=90.00 beta=105.11 gamma=90.00
Space group Cm (No. 8)
Symmetry-distinct sites (fractional):
La 0.0000 0.0000 0.0000 (multiplicity 2)
La 0.0236 0.5000 0.2725 (multiplicity 2)
La 0.0958 0.5000 0.5805 (multiplicity 2)
La 0.2143 0.0000 0.8524 (multiplicity 2)
La 0.2494 0.5000 0.1411 (multiplicity 2)
La 0.2892 0.0000 0.4090 (multiplicity 2)
La 0.4075 0.5000 0.6840 (multiplicity 2)
Co 0.1414 0.0000 0.2072 (multiplicity 2)
Pt 0.0567 0.5000 0.8168 (multiplicity 2)
Pt 0.2519 0.0000 0.6315 (multiplicity 2)
Pt 0.3704 0.0000 0.0622 (multiplicity 2)
Pt 0.4494 0.5000 0.4461 (multiplicity 2)



No. 4
Entry from Alexandria: La2CoPt2 after structural relaxation (PBE).

Calculated values
DOS at the Fermi energy, states/eV/cell: 6.01
Crystal system: tetragonal
Total DFT energy (no corrections), eV/cell: -62.06

Unit cell a=3.8179 b=3.8179 c=16.1064 alpha=90.00 beta=90.00 gamma=90.00
Space group I4/mmm (No. 139)
Symmetry-distinct sites (fractional):
La 0.0000 0.0000 0.1053 (multiplicity 4)
Co 0.0000 0.0000 0.5000 (multiplicity 2)
Pt 0.0000 0.5000 0.2500 (multiplicity 4)



No. 5
Entry from Alexandria: LaCo2Pt after structural relaxation (PBE).

Calculated values
DOS at the Fermi energy, states/eV/cell: 8.72
Crystal system: monoclinic
Total DFT energy (no corrections), eV/cell: -53.11

Unit cell a=7.4531 b=4.3003 c=5.3416 alpha=90.00 beta=117.62 gamma=90.00
Space group C2/m (No. 12)
Symmetry-distinct sites (fractional):
La 0.0000 0.0000 0.0000 (multiplicity 2)
Co 0.1819 0.0000 0.5454 (multiplicity 4)
Pt 0.0000 0.5000 0.5000 (multiplicity 2)



No. 6
Entry from Alexandria: La2CoPt after structural relaxation (PBE).

Calculated values
DOS at the Fermi energy, states/eV/cell: 14.80
Crystal system: tetragonal
Total DFT energy (no corrections), eV/cell: -96.83

Unit cell a=7.6117 b=7.6117 c=6.4474 alpha=90.00 beta=90.00 gamma=90.00
Space group I-42d (No. 122)
Symmetry-distinct sites (fractional):
La 0.2201 0.2500 0.1250 (multiplicity 8)
Co 0.0000 0.0000 0.0000 (multiplicity 4)
Pt 0.0000 0.0000 0.5000 (multiplicity 4)



No. 7
Entry from Alexandria: LaCo2Pt after structural relaxation (PBE).

Calculated values
DOS at the Fermi energy, states/eV/cell: 8.01
Crystal system: tetragonal
Total DFT energy (no corrections), eV/cell: -24.77

Unit cell a=3.3373 b=3.3373 c=6.3265 alpha=90.00 beta=90.00 gamma=90.00
Space group P4/mmm (No. 123)
Symmetry-distinct sites (fractional):
La 0.0000 0.0000 0.0000 (multiplicity 1)
Co 0.5000 0.5000 0.3151 (multiplicity 2)
Pt 0.0000 0.0000 0.5000 (multiplicity 1)



No. 8
Entry from Alexandria: La6CoPt2 after structural relaxation (PBE).

Calculated values
DOS at the Fermi energy, states/eV/cell: 21.29
Crystal system: monoclinic
Total DFT energy (no corrections), eV/cell: -108.40

Unit cell a=6.9205 b=7.5137 c=12.1528 alpha=90.00 beta=120.36 gamma=90.00
Space group P2_1/c (No. 14)
Symmetry-distinct sites (fractional):
La 0.0979 0.0440 0.2502 (multiplicity 4)
La 0.2467 0.6829 0.0759 (multiplicity 4)
La 0.3757 0.1796 0.0625 (multiplicity 4)
Co 0.0000 0.0000 0.0000 (multiplicity 2)
Pt 0.3260 0.1120 0.7740 (multiplicity 4)



No. 9
Entry from Alexandria: La6Co2Pt after structural relaxation (PBE).

Calculated values
DOS at the Fermi energy, states/eV/cell: 8.36
Crystal system: trigonal
Total DFT energy (no corrections), eV/cell: -52.73

Unit cell a=7.1763 b=7.1763 c=6.6258 alpha=90.00 beta=90.00 gamma=120.00
Space group P-31m (No. 162)
Symmetry-distinct sites (fractional):
La 0.0000 0.3498 0.2266 (multiplicity 6)
Co 0.3333 0.6667 0.0000 (multiplicity 2)
Pt 0.0000 0.0000 0.0000 (multiplicity 1)



No. 10
Entry from Alexandria: LaCo2Pt after structural relaxation (PBE).

Calculated values
DOS at the Fermi energy, states/eV/cell: 5.96
Crystal system: tetragonal
Total DFT energy (no corrections), eV/cell: -25.44

Unit cell a=4.1310 b=4.1310 c=3.9400 alpha=90.00 beta=90.00 gamma=90.00
Space group P4/mmm (No. 123)
Symmetry-distinct sites (fractional):
La 0.0000 0.0000 0.0000 (multiplicity 1)
Co 0.0000 0.5000 0.5000 (multiplicity 2)
Pt 0.5000 0.5000 0.0000 (multiplicity 1)



No. 11
Entry from Alexandria: LaCo2Pt after structural relaxation (PBE).

Calculated values
DOS at the Fermi energy, states/eV/cell: 13.67
Crystal system: tetragonal
Total DFT energy (no corrections), eV/cell: -50.50

Unit cell a=4.1716 b=4.1716 c=7.7497 alpha=90.00 beta=90.00 gamma=90.00
Space group I4/mmm (No. 139)
Symmetry-distinct sites (fractional):
La 0.0000 0.0000 0.0000 (multiplicity 2)
Co 0.0000 0.5000 0.2500 (multiplicity 4)
Pt 0.0000 0.0000 0.5000 (multiplicity 2)



No. 12
Entry from Alexandria: La5CoPt after structural relaxation (PBE).

Calculated values
DOS at the Fermi energy, states/eV/cell: 31.86
Crystal system: monoclinic
Total DFT energy (no corrections), eV/cell: -159.02

Unit cell a=12.0399 b=11.8006 c=6.2824 alpha=90.00 beta=108.18 gamma=90.00
Space group C2/c (No. 15)
Symmetry-distinct sites (fractional):
La 0.0000 0.1050 0.2500 (multiplicity 4)
La 0.0557 0.3631 0.5457 (multiplicity 8)
La 0.2223 0.1132 0.8778 (multiplicity 8)
Co 0.0000 0.1460 0.7500 (multiplicity 4)
Pt 0.2500 0.2500 0.5000 (multiplicity 4)



No. 13
Entry from Alexandria: La8Co3Pt after structural relaxation (PBE).

Calculated values
DOS at the Fermi energy, states/eV/cell: 11.97
Crystal system: triclinic
Total DFT energy (no corrections), eV/cell: -69.82

Unit cell a=6.3795 b=7.3316 c=7.8094 alpha=73.77 beta=76.98 gamma=82.00
Space group P1 (No. 1)
Symmetry-distinct sites (fractional):
La 0.0000 0.0000 0.0000 (multiplicity 1)
La 0.0036 0.8622 0.5090 (multiplicity 1)
La 0.0700 0.3489 0.5088 (multiplicity 1)
La 0.4306 0.1850 0.1802 (multiplicity 1)
La 0.4572 0.6887 0.7957 (multiplicity 1)
La 0.5561 0.1736 0.7117 (multiplicity 1)
La 0.5940 0.6845 0.3346 (multiplicity 1)
La 0.9250 0.4767 0.0291 (multiplicity 1)
Co 0.4253 0.0008 0.5167 (multiplicity 1)
Co 0.5955 0.8590 0.9963 (multiplicity 1)
Co 0.8171 0.1620 0.3280 (multiplicity 1)
Pt 0.2074 0.6501 0.1917 (multiplicity 1)



No. 14
Entry from Alexandria: La8Co2Pt3 after structural relaxation (PBE).

Calculated values
DOS at the Fermi energy, states/eV/cell: 21.10
Crystal system: monoclinic
Total DFT energy (no corrections), eV/cell: -158.60

Unit cell a=14.6180 b=8.3861 c=7.0419 alpha=90.00 beta=109.69 gamma=90.00
Space group C2/m (No. 12)
Symmetry-distinct sites (fractional):
La 0.1255 0.0000 0.2403 (multiplicity 4)
La 0.1330 0.5000 0.2239 (multiplicity 4)
La 0.1337 0.2421 0.7670 (multiplicity 8)
Co 0.2473 0.5000 0.9947 (multiplicity 4)
Pt 0.0000 0.0000 0.5000 (multiplicity 2)
Pt 0.0000 0.2530 0.0000 (multiplicity 4)



No. 15
Entry from Alexandria: La2CoPt after structural relaxation (PBE).

Calculated values
DOS at the Fermi energy, states/eV/cell: 3.84
Crystal system: trigonal
Total DFT energy (no corrections), eV/cell: -74.95

Unit cell a=4.1121 b=4.1121 c=20.6564 alpha=90.00 beta=90.00 gamma=120.00
Space group R-3m (No. 166, hexagonal axes)
Symmetry-distinct sites (fractional):
La 0.0000 0.0000 0.2447 (multiplicity 6)
Co 0.0000 0.0000 0.5000 (multiplicity 3)
Pt 0.0000 0.0000 0.0000 (multiplicity 3)



No. 16
Entry from Alexandria: La2CoPt after structural relaxation (PBE).

Calculated values
DOS at the Fermi energy, states/eV/cell: 2.83
Crystal system: tetragonal
Total DFT energy (no corrections), eV/cell: -25.03

Unit cell a=5.1004 b=5.1004 c=3.5735 alpha=90.00 beta=90.00 gamma=90.00
Space group P4/mmm (No. 123)
Symmetry-distinct sites (fractional):
La 0.0000 0.5000 0.0000 (multiplicity 2)
Co 0.0000 0.0000 0.5000 (multiplicity 1)
Pt 0.5000 0.5000 0.5000 (multiplicity 1)



No. 17
Entry from Alexandria: LaCo2Pt after structural relaxation (PBE).

Calculated values
DOS at the Fermi energy, states/eV/cell: 5.13
Crystal system: monoclinic
Total DFT energy (no corrections), eV/cell: -25.69

Unit cell a=4.1943 b=4.3312 c=4.5426 alpha=90.00 beta=91.06 gamma=90.00
Space group P2/m (No. 10)
Symmetry-distinct sites (fractional):
La 0.0000 0.0000 0.0000 (multiplicity 1)
Co 0.4854 0.5000 0.7629 (multiplicity 2)
Pt 0.5000 0.0000 0.5000 (multiplicity 1)



No. 18
Entry from Alexandria: La2CoPt after structural relaxation (PBE).

Calculated values
DOS at the Fermi energy, states/eV/cell: 27.98
Crystal system: cubic
Total DFT energy (no corrections), eV/cell: -96.38

Unit cell a=6.9402 b=6.9402 c=6.9402 alpha=90.00 beta=90.00 gamma=90.00
Space group F-43m (No. 216)
Symmetry-distinct sites (fractional):
La 0.0000 0.0000 0.0000 (multiplicity 4)
La 0.2500 0.2500 0.2500 (multiplicity 4)
Co 0.0000 0.0000 0.5000 (multiplicity 4)
Pt 0.2500 0.2500 0.7500 (multiplicity 4)



No. 19
Entry from Alexandria: LaCo2Pt after structural relaxation (PBE).

Calculated values
DOS at the Fermi energy, states/eV/cell: 8.50
Crystal system: orthorhombic
Total DFT energy (no corrections), eV/cell: -50.77

Unit cell a=3.8406 b=4.2044 c=9.3109 alpha=90.00 beta=90.00 gamma=90.00
Space group Imm2 (No. 44)
Symmetry-distinct sites (fractional):
La 0.0000 0.0000 0.0000 (multiplicity 2)
Co 0.0000 0.0000 0.6124 (multiplicity 2)
Co 0.0000 0.5000 0.2443 (multiplicity 2)
Pt 0.0000 0.5000 0.7640 (multiplicity 2)



No. 20
Entry from Alexandria: La6CoPt3 after structural relaxation (PBE).

Calculated values
DOS at the Fermi energy, states/eV/cell: 16.07
Crystal system: monoclinic
Total DFT energy (no corrections), eV/cell: -124.69

Unit cell a=7.0267 b=7.7033 c=12.7509 alpha=90.00 beta=122.08 gamma=90.00
Space group P2_1/c (No. 14)
Symmetry-distinct sites (fractional):
La 0.0921 0.1892 0.4237 (multiplicity 4)
La 0.2355 0.6719 0.4235 (multiplicity 4)
La 0.4023 0.0545 0.2447 (multiplicity 4)
Co 0.0000 0.0000 0.0000 (multiplicity 2)
Pt 0.1928 0.1086 0.7424 (multiplicity 4)
Pt 0.5000 0.0000 0.5000 (multiplicity 2)



no.,magnetic moment (μB per formula unit)
1,2.366
2,3.446
3,0.000
4,0.509
5,1.037
6,0.000
7,2.869
8,0.000
9,0.000
10,2.248
11,2.664
12,0.000
13,0.000
14,0.000
15,0.000
16,0.267
17,2.240
18,1.061
19,2.938
20,0.000